First-principles (PBE) data for crystalline LiTcPd at its relaxed geometry, as listed in Alexandria.

Summary:
formation enthalpy at 0 K = 1.9245 eV/atom
SG = P6_3/mmc, No. 194
spin magnetization = 3.030 μB per formula unit

Structure (POSCAR):
```
LiTcPd
1.0
-0.424 3.765 2.325
-3.609 -2.350 -1.103
0.735 -4.972 8.187
Tc Pd Li
2 2 2
Direct
0.000 0.000 0.250 Tc
0.000 0.000 0.750 Tc
0.000 0.000 0.000 Pd
0.000 0.000 0.500 Pd
0.333 0.667 0.250 Li
0.667 0.333 0.750 Li
```